(1)
A geometry-optimized LaSeCl2 structure, computed with GGA-PBE.

Cell lengths 4.486, 4.558, 5.503 Å; angles 90.00, 110.82, 90.00 degrees
Space group Pm (No. 6)
Unique sites:
La 0.000 0.000 0.000 [1 per cell]
Se 0.609 0.500 0.153 [1 per cell]
Cl 0.209 0.000 0.561 [1 per cell]
Cl 0.729 0.500 0.682 [1 per cell]

Properties
DOS at the Fermi energy	0.94	states/eV/f.u.
raw formation energy	-1659	meV/atom
total energy	-18.742	eV per cell
theoretical density	4.56	g/cm³
energy relative to the lowest polymorph listed for this composition	21.1	meV per atom


(2)
A geometry-optimized As2BrCl structure, computed with GGA-PBE.

Cell lengths 11.107, 3.583, 7.109 Å; angles 90.00, 129.78, 90.00 degrees
Space group C2/m (No. 12)
Unique sites:
As 0.244 0.000 0.124 [4 per cell]
Br 0.000 0.000 0.500 [2 per cell]
Cl 0.000 0.500 0.000 [2 per cell]

Properties
DOS at the Fermi energy	1.97	states/eV/f.u.
raw formation energy	30	meV/atom
total energy	-25.399	eV per cell
theoretical density	4.05	g/cm³
energy relative to the lowest polymorph listed for this composition	350.0	meV per atom


(3)
A geometry-optimized Co4C3 structure, computed with GGA-PBE.

Cell lengths 3.922, 3.922, 3.922 Å; angles 90.00, 90.00, 90.00 degrees
Space group Pm-3m (No. 221)
Unique sites:
Co 0.000 0.000 0.000 [1 per cell]
Co 0.000 0.500 0.500 [3 per cell]
C 0.000 0.000 0.500 [3 per cell]

Properties
energy relative to the elements	56.2	kJ per mole of atoms
DOS at the Fermi energy	5.55	states/eV/f.u.
total energy	-52.015	eV per cell
theoretical density	7.48	g/cm³
energy relative to the lowest polymorph listed for this composition	0.0	meV per atom


(4)
A geometry-optimized AuI8Br5 structure, computed with GGA-PBE.

Cell lengths 12.666, 12.666, 9.154 Å; angles 90.00, 90.00, 90.00 degrees
Space group I-4 (No. 82)
Unique sites:
Au 0.000 0.000 0.000 [2 per cell]
I 0.013 0.245 0.307 [8 per cell]
I 0.090 0.193 0.001 [8 per cell]
Br 0.000 0.500 0.250 [2 per cell]
Br 0.056 0.716 0.571 [8 per cell]

Properties
DOS at the Fermi energy	2.33	states/eV/f.u.
raw formation energy	35	meV/atom
total energy	-47.095	eV per cell
theoretical density	3.64	g/cm³


(5)
A geometry-optimized Nd3Ho5S8 structure, computed with GGA-PBE.

Cell lengths 7.8730, 7.8730, 19.5796 Å; angles 90.00, 90.00, 120.00 degrees
Space group R-3m (No. 166, hexagonal axes)
Unique sites:
Nd 0.0000 0.5000 0.0000 [9 per cell]
Ho 0.0000 0.0000 0.0000 [3 per cell]
Ho 0.0000 0.0000 0.5000 [3 per cell]
Ho 0.0000 0.5000 0.5000 [9 per cell]
S 0.0000 0.0000 0.2439 [6 per cell]
S 0.0076 0.5038 0.7541 [18 per cell]

Properties
DOS at the Fermi energy	7.66	states/eV/f.u.
raw formation energy	-1989	meV/atom
total energy	-306.111	eV per cell
theoretical density	7.18	g/cm³


(6)
A geometry-optimized Pr8PbSe6 structure, computed with GGA-PBE.

Cell lengths 11.0251, 11.0251, 4.2822 Å; angles 90.00, 90.00, 120.00 degrees
Space group P-3 (No. 147)
Unique sites:
Pr 0.0357 0.3297 0.2473 [6 per cell]
Pr 0.3333 0.6667 0.7511 [2 per cell]
Pb 0.0000 0.0000 0.0000 [1 per cell]
Se 0.1331 0.6496 0.2500 [6 per cell]

Properties
DOS at the Fermi energy	12.48	states/eV/f.u.
raw formation energy	-1403	meV/atom
total energy	-83.889	eV per cell
theoretical density	6.66	g/cm³


(7)
A geometry-optimized CsScSnS4 structure, computed with GGA-PBE.

Cell lengths 6.691, 6.989, 8.936 Å; angles 90.00, 94.55, 90.00 degrees
Space group P2_1/m (No. 11)
Unique sites:
Cs 0.216 0.250 0.069 [2 per cell]
Sc 0.164 0.750 0.458 [2 per cell]
Sn 0.352 0.250 0.644 [2 per cell]
S 0.098 0.003 0.676 [4 per cell]
S 0.342 0.750 0.199 [2 per cell]
S 0.484 0.250 0.406 [2 per cell]

Properties
DOS at the Fermi energy	0.00	states/eV/f.u.
raw formation energy	-1121	meV/atom
total energy	-71.083	eV per cell
theoretical density	3.39	g/cm³


(8)
A geometry-optimized CaMg2Mn structure, computed with GGA-PBE.

Cell lengths 6.350, 9.510, 3.218 Å; angles 90.00, 90.00, 90.00 degrees
Space group Cmmm (No. 65)
Unique sites:
Ca 0.000 0.000 0.000 [2 per cell]
Mg 0.250 0.250 0.500 [4 per cell]
Mn 0.000 0.500 0.000 [2 per cell]

Properties
energy relative to the elements	31.9	kJ per mole of atoms
DOS at the Fermi energy	2.94	states/eV/f.u.
total energy	-26.079	eV per cell
theoretical density	2.45	g/cm³


(9)
A geometry-optimized LaPrHo2Tm2 structure, computed with GGA-PBE.

Cell lengths 6.997, 16.002, 3.580 Å; angles 90.00, 90.00, 90.00 degrees
Space group Pnnm (No. 58)
Unique sites:
La 0.000 0.000 0.000 [2 per cell]
Pr 0.000 0.500 0.500 [2 per cell]
Ho 0.250 0.160 0.500 [4 per cell]
Tm 0.250 0.342 0.000 [4 per cell]

Properties
energy relative to the elements	17.9	kJ per mole of atoms
DOS at the Fermi energy	9.46	states/eV/f.u.
total energy	-53.384	eV per cell
theoretical density	7.85	g/cm³


(10)
A geometry-optimized SnAsOs2W structure, computed with GGA-PBE.

Cell lengths 4.823, 4.823, 4.983 Å; angles 90.00, 90.00, 90.00 degrees
Space group P4/mmm (No. 123)
Unique sites:
Sn 0.000 0.000 0.000 [1 per cell]
As 0.500 0.500 0.500 [1 per cell]
Os 0.000 0.500 0.000 [2 per cell]
W 0.000 0.000 0.500 [1 per cell]

Properties
energy relative to the elements	264.3	kJ per mole of atoms
DOS at the Fermi energy	5.41	states/eV/f.u.
total energy	-30.369	eV per cell
theoretical density	10.86	g/cm³


(11)
A geometry-optimized Ba3Li9Mg2 structure, computed with GGA-PBE.

Cell lengths 5.160, 11.039, 15.051 Å; angles 90.00, 90.00, 90.00 degrees
Space group Immm (No. 71)
Unique sites:
Ba 0.000 0.000 0.000 [2 per cell]
Ba 0.000 0.000 0.308 [4 per cell]
Li 0.000 0.282 0.114 [8 per cell]
Li 0.000 0.336 0.317 [8 per cell]
Li 0.000 0.500 0.000 [2 per cell]
Mg 0.000 0.214 0.500 [4 per cell]

Properties
energy relative to the elements	1.3	kJ per mole of atoms
DOS at the Fermi energy	7.55	states/eV/f.u.
total energy	-51.992	eV per cell
theoretical density	2.03	g/cm³


(12)
A geometry-optimized Nb2HgBiP structure, computed with GGA-PBE.

Cell lengths 4.775, 4.775, 4.989 Å; angles 90.00, 90.00, 90.00 degrees
Space group P4/mmm (No. 123)
Unique sites:
Nb 0.000 0.500 0.000 [2 per cell]
Hg 0.000 0.000 0.500 [1 per cell]
Bi 0.500 0.500 0.500 [1 per cell]
P 0.000 0.000 0.000 [1 per cell]

Properties
energy relative to the elements	46.5	kJ per mole of atoms
DOS at the Fermi energy	6.01	states/eV/f.u.
total energy	-27.325	eV per cell
theoretical density	9.14	g/cm³
energy relative to the lowest polymorph listed for this composition	0.0	meV per atom


(13)
A geometry-optimized V9Fe4Rh11 structure, computed with GGA-PBE.

Cell lengths 10.863, 16.151, 3.698 Å; angles 90.00, 90.00, 90.00 degrees
Space group Cmmm (No. 65)
Unique sites:
V 0.000 0.000 0.000 [2 per cell]
V 0.123 0.243 0.000 [8 per cell]
V 0.130 0.416 0.000 [8 per cell]
Fe 0.149 0.095 0.000 [8 per cell]
Rh 0.000 0.150 0.500 [4 per cell]
Rh 0.000 0.328 0.500 [4 per cell]
Rh 0.000 0.500 0.500 [2 per cell]
Rh 0.238 0.000 0.500 [4 per cell]
Rh 0.248 0.333 0.500 [8 per cell]

Properties
energy relative to the elements	-17.2	kJ per mole of atoms
DOS at the Fermi energy	21.96	states/eV/f.u.
total energy	-402.114	eV per cell
theoretical density	9.28	g/cm³


(14)
A geometry-optimized Li3ScF structure, computed with GGA-PBE.

Cell lengths 5.817, 5.817, 5.817 Å; angles 90.00, 90.00, 90.00 degrees
Space group Pm-3m (No. 221)
Unique sites:
Li 0.000 0.000 0.500 [3 per cell]
Sc 0.000 0.000 0.000 [1 per cell]
F 0.500 0.500 0.500 [1 per cell]

Properties
DOS at the Fermi energy	2.17	states/eV/f.u.
raw formation energy	576	meV/atom
total energy	-11.065	eV per cell
theoretical density	0.72	g/cm³
energy relative to the lowest polymorph listed for this composition	1234.3	meV per atom


(15)
A geometry-optimized BaMgCd3 structure, computed with GGA-PBE.

Cell lengths 7.2922, 7.2922, 6.4313 Å; angles 90.00, 90.00, 120.00 degrees
Space group P6_3/mmc (No. 194)
Unique sites:
Ba 0.3333 0.6667 0.2500 [2 per cell]
Mg 0.0000 0.0000 0.0000 [2 per cell]
Cd 0.1949 0.3898 0.7500 [6 per cell]

Properties
energy relative to the elements	-19.5	kJ per mole of atoms
DOS at the Fermi energy	2.89	states/eV/f.u.
total energy	-14.551	eV per cell
theoretical density	5.59	g/cm³
energy relative to the lowest polymorph listed for this composition	0.0	meV per atom


(16)
A geometry-optimized Pr2SeS structure, computed with GGA-PBE.

Cell lengths 4.0987, 4.0987, 21.6155 Å; angles 90.00, 90.00, 120.00 degrees
Space group R3m (No. 160, hexagonal axes)
Unique sites:
Pr 0.0000 0.0000 0.0000 [3 per cell]
Pr 0.0000 0.0000 0.1838 [3 per cell]
Se 0.0000 0.0000 0.4247 [3 per cell]
S 0.0000 0.0000 0.5933 [3 per cell]

Properties
DOS at the Fermi energy	0.68	states/eV/f.u.
raw formation energy	-1925	meV/atom
total energy	-74.607	eV per cell
theoretical density	6.22	g/cm³
energy relative to the lowest polymorph listed for this composition	18.1	meV per atom


(17)
A geometry-optimized LiInCl2 structure, computed with GGA-PBE.

Cell lengths 4.713, 4.174, 6.316 Å; angles 90.00, 93.72, 90.00 degrees
Space group Pm (No. 6)
Unique sites:
Li 0.000 0.000 0.000 [1 per cell]
In 0.666 0.500 0.566 [1 per cell]
Cl 0.130 0.000 0.651 [1 per cell]
Cl 0.818 0.500 0.088 [1 per cell]

Properties
DOS at the Fermi energy	0.00	states/eV/f.u.
raw formation energy	-1242	meV/atom
total energy	-13.314	eV per cell
theoretical density	2.58	g/cm³
energy relative to the lowest polymorph listed for this composition	63.3	meV per atom


(18)
A geometry-optimized NaIn5Hg7 structure, computed with GGA-PBE.

Cell lengths 10.340, 4.920, 27.326 Å; angles 90.00, 95.75, 90.00 degrees
Space group Cm (No. 8)
Unique sites:
Na 0.000 0.000 0.000 [2 per cell]
Na 0.246 0.000 0.474 [2 per cell]
In 0.050 0.500 0.400 [2 per cell]
In 0.101 0.000 0.770 [2 per cell]
In 0.114 0.000 0.235 [2 per cell]
In 0.182 0.500 0.074 [2 per cell]
In 0.232 0.500 0.620 [2 per cell]
In 0.234 0.500 0.850 [2 per cell]
In 0.310 0.500 0.299 [2 per cell]
In 0.408 0.000 0.599 [2 per cell]
In 0.416 0.000 0.822 [2 per cell]
In 0.421 0.000 0.173 [2 per cell]
Hg 0.039 0.000 0.116 [2 per cell]
Hg 0.051 0.000 0.886 [2 per cell]
Hg 0.083 0.000 0.649 [2 per cell]
Hg 0.092 0.500 0.512 [2 per cell]
Hg 0.169 0.500 0.961 [2 per cell]
Hg 0.185 0.000 0.354 [2 per cell]
Hg 0.249 0.500 0.185 [2 per cell]
Hg 0.273 0.500 0.735 [2 per cell]
Hg 0.358 0.000 0.055 [2 per cell]
Hg 0.358 0.000 0.938 [2 per cell]
Hg 0.372 0.500 0.413 [2 per cell]
Hg 0.416 0.500 0.526 [2 per cell]
Hg 0.446 0.000 0.710 [2 per cell]
Hg 0.483 0.000 0.288 [2 per cell]

Properties
energy relative to the elements	-4.7	kJ per mole of atoms
DOS at the Fermi energy	4.03	states/eV/f.u.
total energy	-71.055	eV per cell
theoretical density	9.61	g/cm³


(19)
A geometry-optimized ScHgIr2 structure, computed with GGA-PBE.

Cell lengths 3.078, 4.846, 9.374 Å; angles 90.00, 90.00, 90.00 degrees
Space group Cmmm (No. 65)
Unique sites:
Sc 0.000 0.000 0.000 [2 per cell]
Hg 0.000 0.000 0.500 [2 per cell]
Ir 0.000 0.500 0.225 [4 per cell]

Properties
energy relative to the elements	-7.2	kJ per mole of atoms
DOS at the Fermi energy	2.21	states/eV/f.u.
total energy	-49.308	eV per cell
theoretical density	14.96	g/cm³


(20)
A geometry-optimized LaTiPCl2 structure, computed with GGA-PBE.

Cell lengths 4.675, 4.675, 5.037 Å; angles 90.00, 90.00, 90.00 degrees
Space group P4/mmm (No. 123)
Unique sites:
La 0.000 0.000 0.000 [1 per cell]
Ti 0.500 0.500 0.500 [1 per cell]
P 0.500 0.500 0.000 [1 per cell]
Cl 0.000 0.500 0.500 [2 per cell]

Properties
DOS at the Fermi energy	2.89	states/eV/f.u.
raw formation energy	-1171	meV/atom
total energy	-27.783	eV per cell
theoretical density	4.35	g/cm³
energy relative to the lowest polymorph listed for this composition	0.0	meV per atom


(21)
A geometry-optimized VSbI2Cl structure, computed with GGA-PBE.

Cell lengths 5.237, 5.237, 5.338 Å; angles 90.00, 90.00, 90.00 degrees
Space group P4/mmm (No. 123)
Unique sites:
V 0.000 0.000 0.000 [1 per cell]
Sb 0.000 0.000 0.500 [1 per cell]
I 0.000 0.500 0.000 [2 per cell]
Cl 0.500 0.500 0.500 [1 per cell]

Properties
DOS at the Fermi energy	4.66	states/eV/f.u.
raw formation energy	111	meV/atom
total energy	-17.633	eV per cell
theoretical density	5.24	g/cm³
energy relative to the lowest polymorph listed for this composition	0.0	meV per atom


(22)
A geometry-optimized TiMnSi structure, computed with GGA-PBE.

Cell lengths 4.0208, 4.0208, 5.6877 Å; angles 90.00, 90.00, 120.00 degrees
Space group P-3m1 (No. 164)
Unique sites:
Ti 0.0000 0.0000 0.0000 [1 per cell]
Ti 0.0000 0.0000 0.5000 [1 per cell]
Mn 0.3333 0.6667 0.3315 [2 per cell]
Si 0.3333 0.6667 0.7579 [2 per cell]

Properties
DOS at the Fermi energy	2.85	states/eV/f.u.
raw formation energy	-551	meV/atom
total energy	-48.282	eV per cell
theoretical density	5.46	g/cm³


(23)
A geometry-optimized Be3Cu2Pd2 structure, computed with GGA-PBE.

Cell lengths 6.769, 3.923, 6.287 Å; angles 90.00, 111.29, 90.00 degrees
Space group C2/m (No. 12)
Unique sites:
Be 0.000 0.000 0.000 [2 per cell]
Be 0.070 0.500 0.713 [4 per cell]
Cu 0.135 0.000 0.402 [4 per cell]
Pd 0.214 0.500 0.142 [4 per cell]

Properties
energy relative to the elements	-31.6	kJ per mole of atoms
DOS at the Fermi energy	1.69	states/eV/f.u.
total energy	-64.102	eV per cell
theoretical density	7.83	g/cm³